1.
Here is Mg2TlOs after structural relaxation from the Alexandria database. Energies are from PBE.

Computed properties:
ΔH_f (0 K) in eV/atom: 0.4768
Crystal system: trigonal
Energy relative to the lowest polymorph listed for this composition in meV per atom: 250
VASP energy in eV per atom: -3.72

The structure in CIF format:
```
data_Mg2TlOs
_cell_length_a 3.0874
_cell_length_b 3.0874
_cell_length_c 29.0918
_cell_angle_alpha 90.00
_cell_angle_beta 90.00
_cell_angle_gamma 120.00
_symmetry_space_group_name_H-M 'R 3 m'
_symmetry_Int_Tables_number 160
_symmetry_space_group_name_Hall 'R 3 -2"'
loop_
_atom_site_label
_atom_site_type_symbol
_atom_site_fract_x
_atom_site_fract_y
_atom_site_fract_z
Mg1 Mg 0.0000 0.0000 0.0000
Mg2 Mg 0.0000 0.0000 0.2420
Tl1 Tl 0.0000 0.0000 0.7586
Os1 Os 0.0000 0.0000 0.5046
```

---

2.
Here is Mg2TlOs after structural relaxation from the Alexandria database. Energies are from PBE.

Computed properties:
ΔH_f (0 K) in eV/atom: 0.3544
Crystal system: tetragonal
Energy relative to the lowest polymorph listed for this composition in meV per atom: 127
VASP energy in eV per atom: -3.84

The structure in CIF format:
```
data_Mg2TlOs
_cell_length_a 3.512
_cell_length_b 3.512
_cell_length_c 6.083
_cell_angle_alpha 90.00
_cell_angle_beta 90.00
_cell_angle_gamma 90.00
_symmetry_space_group_name_H-M 'P 4 m m'
_symmetry_Int_Tables_number 99
loop_
_symmetry_equiv_pos_as_xyz
'x,y,z'
'-y,x,z'
'-x,-y,z'
'y,-x,z'
'-x,y,z'
'y,x,z'
'x,-y,z'
'-y,-x,z'
loop_
_atom_site_label
_atom_site_type_symbol
_atom_site_fract_x
_atom_site_fract_y
_atom_site_fract_z
Mg1 Mg 0.000 0.000 0.000
Mg2 Mg 0.500 0.500 0.269
Tl1 Tl 0.500 0.500 0.729
Os1 Os 0.000 0.000 0.468
```